1.
DFT (GGA-PBE) results for a relaxed structure of NdYSc2.

Calculated values
Symmetry: R-3m
ΔH_f (0 K) (eV per formula unit): 0.28
N(E_F) (states/eV/cell): 5.62
VASP energy (eV per atom): -5.90

POSCAR file:
```
NdYSc2
1.0
1.733 1.000 11.050
-1.733 1.000 11.050
0.000 -2.001 11.050
Nd Y Sc
1 1 2
Direct
0.000 0.000 0.000
0.500 0.500 0.500
0.249 0.249 0.249
0.751 0.751 0.751
```

---

2.
DFT (GGA-PBE) results for a relaxed structure of CaTh2Se4.

Calculated values
Symmetry: Cmcm
N(E_F) (states/eV/cell): 8.61
VASP energy (eV per atom): -6.08

POSCAR file:
```
CaTh2Se4
1.0
2.050 -6.845 0.000
2.050 6.845 0.000
0.000 0.000 14.377
Ca Th Se
2 4 8
Direct
0.114 0.886 0.750
0.886 0.114 0.250
0.365 0.635 0.567
0.365 0.635 0.933
0.635 0.365 0.067
0.635 0.365 0.433
0.000 0.000 0.000
0.000 0.000 0.500
0.280 0.720 0.126
0.280 0.720 0.374
0.461 0.539 0.750
0.539 0.461 0.250
0.720 0.280 0.626
0.720 0.280 0.874
```

---

3.
DFT (GGA-PBE) results for a relaxed structure of TbSmHo4.

Calculated values
Symmetry: C2/c
ΔH_f (0 K) (eV per formula unit): 0.93
N(E_F) (states/eV/cell): 19.78
VASP energy (eV per atom): -4.45

POSCAR file:
```
TbSmHo4
1.0
4.392 -7.328 0.000
4.392 7.328 0.000
-2.330 0.000 6.034
Tb Sm Ho
2 2 8
Direct
0.087 0.913 0.750
0.913 0.087 0.250
0.497 0.503 0.750
0.503 0.497 0.250
0.073 0.328 0.880
0.212 0.606 0.462
0.328 0.073 0.380
0.394 0.788 0.038
0.606 0.212 0.962
0.672 0.927 0.620
0.788 0.394 0.538
0.927 0.672 0.120
```

---

4.
DFT (GGA-PBE) results for a relaxed structure of RbH2AuF8.

Calculated values
Symmetry: P-1
N(E_F) (states/eV/cell): 0.00
VASP energy (eV per atom): -3.67

POSCAR file:
```
RbH2AuF8
1.0
4.946 0.000 0.000
1.096 4.985 0.000
0.575 1.212 7.947
Rb H Au F
1 2 1 8
Direct
0.000 0.000 0.000
0.266 0.366 0.245
0.734 0.634 0.755
0.000 0.000 0.500
0.212 0.286 0.447
0.238 0.823 0.686
0.240 0.811 0.335
0.269 0.398 0.123
0.731 0.602 0.877
0.760 0.189 0.665
0.762 0.177 0.314
0.788 0.714 0.553
```

---

5.
DFT (GGA-PBE) results for a relaxed structure of SiSeS.

Calculated values
Symmetry: P1
VASP energy (eV per atom): -4.39

POSCAR file:
```
SiSeS
1.0
3.239 0.000 0.000
-0.003 6.059 0.000
-1.054 -2.997 5.805
Si Se S
1 1 1
Direct
0.000 0.000 0.000
0.365 0.855 0.710
0.624 0.131 0.262
```

---

6.
DFT (GGA-PBE) results for a relaxed structure of Ac5CoRh.

Calculated values
Symmetry: C2/c
ΔH_f (0 K) (eV per formula unit): -1.35
N(E_F) (states/eV/cell): 16.22
VASP energy (eV per atom): -5.19

POSCAR file:
```
Ac5CoRh
1.0
3.542 -7.171 0.000
3.542 7.171 0.000
-2.894 0.000 10.090
Ac Co Rh
10 2 2
Direct
0.050 0.370 0.637
0.073 0.927 0.750
0.249 0.465 0.030
0.370 0.050 0.137
0.465 0.249 0.530
0.535 0.751 0.470
0.630 0.950 0.863
0.751 0.535 0.970
0.927 0.073 0.250
0.950 0.630 0.363
0.000 0.000 0.000
0.000 0.000 0.500
0.475 0.525 0.750
0.525 0.475 0.250
```

---

7.
DFT (GGA-PBE) results for a relaxed structure of NdHoErMg.

Calculated values
Symmetry: P4mm
ΔH_f (0 K) (eV per formula unit): -0.10
N(E_F) (states/eV/cell): 4.77
VASP energy (eV per atom): -3.90

POSCAR file:
```
NdHoErMg
1.0
3.636 0.000 0.000
0.000 3.636 0.000
0.000 0.000 9.085
Nd Ho Er Mg
1 1 1 1
Direct
0.000 0.000 0.000
0.500 0.500 0.725
0.500 0.500 0.273
0.000 0.000 0.498
```

---

8.
DFT (GGA-PBE) results for a relaxed structure of TaBrN3.

Calculated values
Symmetry: Pm-3m
N(E_F) (states/eV/cell): 4.41
VASP energy (eV per atom): -6.70

POSCAR file:
```
TaBrN3
1.0
4.116 0.000 0.000
0.000 4.116 0.000
0.000 0.000 4.116
Ta Br N
1 1 3
Direct
0.000 0.000 0.000
0.500 0.500 0.500
0.000 0.000 0.500
0.000 0.500 0.000
0.500 0.000 0.000
```

---

9.
DFT (GGA-PBE) results for a relaxed structure of Pr6Zn5Sb.

Calculated values
Symmetry: Immm
N(E_F) (states/eV/cell): 12.24
VASP energy (eV per atom): -3.68

POSCAR file:
```
Pr6Zn5Sb
1.0
-2.655 3.743 7.986
2.655 -3.743 7.986
2.655 3.743 -7.986
Pr Zn Sb
6 5 1
Direct
0.078 0.331 0.747
0.245 0.000 0.245
0.417 0.669 0.747
0.583 0.331 0.253
0.755 0.000 0.755
0.922 0.669 0.253
0.000 0.500 0.500
0.166 0.166 0.000
0.327 0.827 0.500
0.673 0.173 0.500
0.834 0.834 0.000
0.500 0.500 0.000
```

---

10.
DFT (GGA-PBE) results for a relaxed structure of Mg2NbIn4.

Calculated values
Symmetry: I4/mmm
ΔH_f (0 K) (eV per formula unit): -0.11
N(E_F) (states/eV/cell): 3.50
VASP energy (eV per atom): -3.48

POSCAR file:
```
Mg2NbIn4
1.0
-3.117 3.117 4.177
3.117 -3.117 4.177
3.117 3.117 -4.177
Mg Nb In
2 1 4
Direct
0.000 0.500 0.500
0.500 0.000 0.500
0.000 0.000 0.000
0.000 0.000 0.500
0.000 0.500 0.000
0.500 0.000 0.000
0.500 0.500 0.500
```

---

11.
DFT (GGA-PBE) results for a relaxed structure of Na2SrCaSc.

Calculated values
Symmetry: P4/mmm
ΔH_f (0 K) (eV per formula unit): 4.23
N(E_F) (states/eV/cell): 7.52
VASP energy (eV per atom): -1.68

POSCAR file:
```
Na2SrCaSc
1.0
6.042 0.000 0.000
0.000 6.042 0.000
0.000 0.000 6.114
Na Sr Ca Sc
2 1 1 1
Direct
0.000 0.500 0.000
0.500 0.000 0.000
0.000 0.000 0.000
0.500 0.500 0.500
0.000 0.000 0.500
```

---

12.
DFT (GGA-PBE) results for a relaxed structure of InBi2Pd3.

Calculated values
Symmetry: Cmcm
ΔH_f (0 K) (eV per formula unit): -2.09
N(E_F) (states/eV/cell): 6.28
VASP energy (eV per atom): -4.69

POSCAR file:
```
InBi2Pd3
1.0
6.356 -3.690 0.000
6.356 3.690 0.000
0.000 0.000 5.707
In Bi Pd
2 4 6
Direct
0.169 0.831 0.750
0.831 0.169 0.250
0.166 0.500 0.250
0.500 0.166 0.750
0.500 0.834 0.250
0.834 0.500 0.750
0.160 0.160 0.000
0.160 0.160 0.500
0.500 0.500 0.000
0.500 0.500 0.500
0.840 0.840 0.000
0.840 0.840 0.500
```